Record 1
{"formula": "Na5Ga2S6", "functional": "GGA-PBE", "state": "relaxed", "e_form_raw_ev_per_atom": -0.9144, "crystal_system": "monoclinic", "energy_ev_per_atom": -3.792, "mass_density_g_cm3": 2.381, "magnetic_moment_mub_per_cell": 2.03, "lattice_angstrom": [[6.981, 0.210, 1.284], [2.870, 6.367, 1.284], [1.415, 0.945, 14.584]], "species": ["Na", "Na", "Na", "S", "S", "Na", "S", "Ga", "S", "Na", "Na", "Na", "S", "Na", "S", "S", "S", "S", "Ga", "S", "S", "Ga", "S", "Ga", "Na", "Na"], "fractional_positions": [[0.222, 0.723, 0.499], [0.983, 0.354, 0.752], [0.277, 0.778, 0.001], [0.636, 0.632, 0.861], [0.368, 0.364, 0.639], [0.354, 0.983, 0.252], [0.054, 0.035, 0.642], [0.345, 0.119, 0.578], [0.661, 0.801, 0.586], [0.778, 0.277, 0.501], [0.649, 0.351, 0.250], [0.351, 0.649, 0.750], [0.801, 0.661, 0.086], [0.017, 0.646, 0.248], [0.339, 0.199, 0.414], [0.946, 0.965, 0.358], [0.965, 0.946, 0.858], [0.035, 0.054, 0.142], [0.655, 0.881, 0.422], [0.199, 0.339, 0.914], [0.364, 0.368, 0.139], [0.881, 0.655, 0.922], [0.632, 0.636, 0.361], [0.119, 0.345, 0.078], [0.646, 0.017, 0.748], [0.723, 0.222, 0.999]]}

Record 2
{"formula": "NaGaS2", "functional": "GGA-PBE", "state": "relaxed", "e_form_raw_ev_per_atom": -0.9141, "crystal_system": "monoclinic", "energy_ev_per_atom": -4.064, "mass_density_g_cm3": 2.817, "magnetic_moment_mub_per_cell": 0.00, "lattice_angstrom": [[-4.956, 2.635, -2.414], [-5.324, -3.324, -0.428], [2.342, 2.656, 5.830]], "species": ["S", "Ga", "S", "Na", "S", "Na", "S", "Ga"], "fractional_positions": [[0.293, 0.804, 0.080], [0.312, 0.222, 0.406], [0.977, 0.570, 0.337], [0.781, 0.818, 0.024], [0.470, 0.075, 0.704], [0.028, 0.061, 0.759], [0.663, 0.309, 0.447], [0.581, 0.657, 0.378]]}